# PaVSb2O8 PBE with a Hubbard U relaxed
# E_tot = -7.422 eV per atom
data_PaVSb2O8
_space_group_name_H-M_alt 'P -1'
_space_group_IT_number 2
_cell_length_a 5.086
_cell_length_b 5.588
_cell_length_c 6.560
_cell_angle_alpha 84.91
_cell_angle_beta 88.30
_cell_angle_gamma 89.25
loop_
_space_group_symop_operation_xyz
'x,y,z'
'-x,-y,-z'
loop_
_atom_site_label
_atom_site_fract_x
_atom_site_fract_y
_atom_site_fract_z
Pa1 0.000 0.000 0.000
V1 0.000 0.000 0.500
Sb1 0.496 0.589 0.733
O1 0.129 0.173 0.720
O2 0.196 0.176 0.261
O3 0.274 0.792 0.533
O4 0.312 0.721 0.974